BaCr3Hg PBE relaxed; space-group type = Pm-3m, No. 221; N(E_F) = 3.17 states/eV/f.u.; E_form = 1034 meV per atom; energy above the most stable polymorph in this dataset = 0.0 kJ per mole of atoms
1.0
5.312 0.000 0.000
0.000 5.312 0.000
0.000 0.000 5.312
Ba Cr Hg
1 3 1
direct
0.000 0.000 0.000
0.000 0.500 0.500
0.500 0.000 0.500
0.500 0.500 0.000
0.500 0.500 0.500